(1)
# LiPmSmSn (GGA-PBE, relaxed)
data_LiPmSmSn
_space_group_name_H-M_alt 'F -4 3 m'
_space_group_IT_number 216
_space_group_name_Hall 'F -4 2 3'
_cell_length_a 7.550
_cell_length_b 7.550
_cell_length_c 7.550
_cell_angle_alpha 90.00
_cell_angle_beta 90.00
_cell_angle_gamma 90.00
loop_
_atom_site_label
_atom_site_type_symbol
_atom_site_fract_x
_atom_site_fract_y
_atom_site_fract_z
_atom_site_occupancy
Li1 Li 0.000 0.000 0.000 1
Pm1 Pm 0.250 0.250 0.250 1
Sm1 Sm 0.250 0.250 0.750 1
Sn1 Sn 0.000 0.000 0.500 1
# ΔE_f: -10.26 kcal/mol of atoms
# Density of states at the Fermi level: 0.726 states/eV/atom
# Total moment: 0.00 μB per formula unit

=====

(2)
# Re2TcPt (GGA-PBE, relaxed)
data_Re2TcPt
_space_group_name_H-M_alt 'F m -3 m'
_space_group_IT_number 225
_space_group_name_Hall '-F 4 2 3'
_cell_length_a 6.249
_cell_length_b 6.249
_cell_length_c 6.249
_cell_angle_alpha 90.00
_cell_angle_beta 90.00
_cell_angle_gamma 90.00
loop_
_atom_site_label
_atom_site_type_symbol
_atom_site_fract_x
_atom_site_fract_y
_atom_site_fract_z
_atom_site_occupancy
Re1 Re 0.250 0.250 0.250 1
Tc1 Tc 0.000 0.000 0.000 1
Pt1 Pt 0.000 0.000 0.500 1
# Relative energy among the computed polymorphs: 506 meV/atom
# ΔE_f: 9.71 kcal/mol of atoms
# Density of states at the Fermi level: 0.800 states/eV/atom
# Total moment: 0.00 μB per formula unit

=====

(3)
# Rb4Pr3TmO8 (GGA-PBE, relaxed)
data_Rb4Pr3TmO8
_space_group_name_H-M_alt 'R -3 m'
_space_group_IT_number 166
_space_group_name_Hall '-R 3 2"'
_cell_length_a 7.2847
_cell_length_b 7.2847
_cell_length_c 19.8207
_cell_angle_alpha 90.00
_cell_angle_beta 90.00
_cell_angle_gamma 120.00
loop_
_atom_site_label
_atom_site_type_symbol
_atom_site_fract_x
_atom_site_fract_y
_atom_site_fract_z
_atom_site_occupancy
Rb1 Rb 0.0000 0.0000 0.0000 1
Rb2 Rb 0.0000 0.5000 0.0000 1
Pr1 Pr 0.0000 0.5000 0.5000 1
Tm1 Tm 0.0000 0.0000 0.5000 1
O1 O 0.0000 0.0000 0.2276 1
O2 O 0.0142 0.5071 0.2261 1
# E_tot: -310.16 eV per cell
# Density of states at the Fermi level: 0.000 states/eV/atom
# Total moment: 0.00 μB per formula unit